DFT (PBE) results for a relaxed LiScTc2 crystal.

spin magnetization: 0.0 μB/f.u.
excess energy over the best structure of this formula in the dataset: 154 meV per atom
symmetry: I4/mmm, No. 139

Cell lengths 5.2141, 5.2141, 5.2141 Å; angles 138.29, 138.29, 60.46 degrees
Closest atoms and distances in Å follow each position.
Fractional positions:
Li (0.2500, 0.7500, 0.5000)  4 Sc 2.63, 8 Tc 2.92
Sc (0.7500, 0.2500, 0.5000)  4 Li 2.63, 8 Tc 2.92
Tc (0.0000, 0.0000, 0.0000)  4 Tc 2.63, 4 Li 2.92, 4 Sc 2.92
Tc (0.5000, 0.5000, 0.0000)  4 Tc 2.63, 4 Li 2.92, 4 Sc 2.92